DFT (PBE-GGA) results for a relaxed Li2PmCdAg crystal.

Properties
energy of formation: -0.145 eV/atom
space group: No. 44
final energy: -2.614 eV per atom

Cell and atoms, written as POSCAR:
```
Li2PmCdAg
1.0
-2.297 2.474 1.676
-0.863 -3.022 3.276
6.523 2.556 0.930
Cd Li Pm Ag
1 2 1 1
Cartesian
1.246 -0.737 2.794
0.501 0.231 0.346
0.925 2.194 2.268
4.338 2.003 2.990
1.810 1.291 4.813
```


DFT (PBE-GGA) results for a relaxed Li2PmCdAg2 crystal.

Properties
energy of formation: -0.212 eV/atom
space group: No. 164
final energy: -2.745 eV per atom

Cell and atoms, written as POSCAR:
```
Li2PmCdAg2
1.0
4.663 0.000 0.000
-2.332 4.039 0.000
0.000 0.000 6.634
Ag Cd Li Pm
2 1 2 1
Cartesian
0.000 2.692 1.717
2.332 1.346 4.917
0.000 0.000 3.317
0.000 2.692 4.423
2.332 1.346 2.211
0.000 0.000 0.000
```


DFT (PBE-GGA) results for a relaxed Li2PmCd4Ag crystal.

Properties
energy of formation: -0.202 eV/atom
space group: No. 166
final energy: -2.088 eV per atom

Cell and atoms, written as POSCAR:
```
Li2PmCd4Ag
1.0
4.743 0.000 0.000
2.371 4.107 0.000
2.371 1.369 9.023
Cd Li Pm Ag
4 2 1 1
Cartesian
4.743 2.738 1.664
7.114 4.107 3.402
2.371 1.369 5.621
4.743 2.738 7.359
7.114 4.107 6.423
2.371 1.369 2.600
0.000 0.000 0.000
4.743 2.738 4.512
```